DFT (PBE with a Hubbard U) results for a relaxed SnMoO2 crystal.

a = 6.991 Å, b = 3.371 Å, c = 11.360 Å
α = 90.00°, β = 90.00°, γ = 90.00°
Space group Pnma (No. 62)
Unique sites:
1 Sn 0.067 0.250 0.126 (multiplicity 4)
2 Mo 0.047 0.750 0.375 (multiplicity 4)
3 O 0.126 0.750 0.559 (multiplicity 4)
4 O 0.200 0.250 0.304 (multiplicity 4)

E_tot ... -6.313 eV/atom